{"formula": "K2TaSeF", "functional": "PBE", "state": "relaxed", "cell": [[4.5241, 0.0000, 0.0000], [0.0000, 4.5241, 0.0000], [0.0000, 0.0000, 6.7230]], "species": ["K", "K", "Ta", "Se", "F"], "fractional_positions": [[0.0000, 0.5000, 0.0000], [0.5000, 0.0000, 0.0000], [0.0000, 0.0000, 0.5000], [0.5000, 0.5000, 0.5000], [0.5000, 0.5000, 0.0000]], "raw_formation_energy_ev_per_atom": -0.1363, "m_tot_mub_per_atom": 0.41}